1.
# Rb2NpSbSe4

Rb2NpSbSe4 after structural relaxation (PBE, Alexandria).

Lattice parameters (Å, degrees): 8.019 8.019 9.990 90.00 90.00 90.00
Space group I-4 (No. 82)
One atom of each set of equivalent atoms:
Rb 0.000 0.000 0.000 (multiplicity 2)
Rb 0.000 0.500 0.250 (multiplicity 2)
Np 0.000 0.000 0.500 (multiplicity 2)
Sb 0.000 0.500 0.750 (multiplicity 2)
Se 0.182 0.251 0.625 (multiplicity 8)

Results
ΔE_f (raw) ... -72.86 kJ per mole of atoms
Final energy ... -77.96 eV for the cell shown
Calculated density ... 4.37 g/cm3
D(E_F) ... 21.40 states/eV/cell
Crystal system ... tetragonal

2.
# Rb2Np2SbSe6

Rb2Np2SbSe6 after structural relaxation (PBE, Alexandria).

Lattice parameters (Å, degrees): 7.333 12.695 8.475 90.00 106.23 90.00
Space group C2/m (No. 12)
One atom of each set of equivalent atoms:
Rb 0.000 0.164 0.000 (multiplicity 4)
Np 0.000 0.334 0.500 (multiplicity 4)
Sb 0.000 0.000 0.500 (multiplicity 2)
Se 0.225 0.500 0.691 (multiplicity 4)
Se 0.230 0.169 0.690 (multiplicity 8)

Results
ΔE_f (raw) ... -99.12 kJ per mole of atoms
Final energy ... -128.29 eV for the cell shown
Calculated density ... 5.44 g/cm3
D(E_F) ... 35.21 states/eV/cell
Crystal system ... monoclinic

3.
# Rb3Np3SbSe8

Rb3Np3SbSe8 after structural relaxation (PBE, Alexandria).

Lattice parameters (Å, degrees): 8.5263 8.5263 24.1633 90.00 90.00 120.00
Space group R-3m (No. 166, hexagonal axes)
One atom of each set of equivalent atoms:
Rb 0.0000 0.5000 0.0000 (multiplicity 9)
Np 0.0000 0.5000 0.5000 (multiplicity 9)
Sb 0.0000 0.0000 0.5000 (multiplicity 3)
Se 0.0000 0.0000 0.2313 (multiplicity 6)
Se 0.0028 0.5014 0.7698 (multiplicity 18)

Results
ΔE_f (raw) ... -104.90 kJ per mole of atoms
Final energy ... -270.09 eV for the cell shown
Calculated density ... 5.64 g/cm3
D(E_F) ... 79.18 states/eV/cell
Crystal system ... trigonal

4.
# Rb4Np3SbSe8

Rb4Np3SbSe8 after structural relaxation (PBE, Alexandria).

Lattice parameters (Å, degrees): 8.6169 8.6169 23.9087 90.00 90.00 120.00
Space group R-3m (No. 166, hexagonal axes)
One atom of each set of equivalent atoms:
Rb 0.0000 0.0000 0.0000 (multiplicity 3)
Rb 0.0000 0.5000 0.0000 (multiplicity 9)
Np 0.0000 0.5000 0.5000 (multiplicity 9)
Sb 0.0000 0.0000 0.5000 (multiplicity 3)
Se 0.0000 0.0000 0.2317 (multiplicity 6)
Se 0.0013 0.5006 0.7679 (multiplicity 18)

Results
ΔE_f (raw) ... -104.91 kJ per mole of atoms
Final energy ... -276.26 eV for the cell shown
Calculated density ... 5.85 g/cm3
D(E_F) ... 102.09 states/eV/cell
Crystal system ... trigonal

5.
# Rb4Np3ScSe8

Rb4Np3ScSe8 after structural relaxation (PBE, Alexandria).

Lattice parameters (Å, degrees): 8.4282 8.4282 8.1724 90.00 90.00 120.00
Space group P-3m1 (No. 164)
One atom of each set of equivalent atoms:
Rb 0.0000 0.0000 0.0000 (multiplicity 1)
Rb 0.0000 0.5000 0.0000 (multiplicity 3)
Np 0.0000 0.5000 0.5000 (multiplicity 3)
Sc 0.0000 0.0000 0.5000 (multiplicity 1)
Se 0.1602 0.3205 0.3095 (multiplicity 6)
Se 0.3333 0.6667 0.6965 (multiplicity 2)

Results
ΔE_f (raw) ... -123.37 kJ per mole of atoms
Final energy ... -97.36 eV for the cell shown
Calculated density ... 5.71 g/cm3
D(E_F) ... 27.05 states/eV/cell
Crystal system ... trigonal

6.
# Rb2NpScSe4

Rb2NpScSe4 after structural relaxation (PBE, Alexandria).

Lattice parameters (Å, degrees): 7.221 4.188 8.323 90.00 106.86 90.00
Space group P2/m (No. 10)
One atom of each set of equivalent atoms:
Rb 0.000 0.000 0.000 (multiplicity 1)
Rb 0.500 0.500 0.000 (multiplicity 1)
Np 0.000 0.500 0.500 (multiplicity 1)
Sc 0.500 0.000 0.500 (multiplicity 1)
Se 0.244 0.000 0.694 (multiplicity 2)
Se 0.283 0.500 0.311 (multiplicity 2)

Results
ΔE_f (raw) ... -134.50 kJ per mole of atoms
Final energy ... -46.30 eV for the cell shown
Calculated density ... 5.30 g/cm3
D(E_F) ... 9.94 states/eV/cell
Crystal system ... monoclinic

7.
# Rb3Np3ScSe8

Rb3Np3ScSe8 after structural relaxation (PBE, Alexandria).

Lattice parameters (Å, degrees): 8.3563 8.3563 24.3625 90.00 90.00 120.00
Space group R-3m (No. 166, hexagonal axes)
One atom of each set of equivalent atoms:
Rb 0.0000 0.5000 0.0000 (multiplicity 9)
Np 0.0000 0.5000 0.5000 (multiplicity 9)
Sc 0.0000 0.0000 0.5000 (multiplicity 3)
Se 0.0000 0.0000 0.2317 (multiplicity 6)
Se 0.0110 0.5055 0.2289 (multiplicity 18)

Results
ΔE_f (raw) ... -127.80 kJ per mole of atoms
Final energy ... -287.40 eV for the cell shown
Calculated density ... 5.56 g/cm3
D(E_F) ... 82.80 states/eV/cell
Crystal system ... trigonal

8.
# Rb3NpSc3Te8

Rb3NpSc3Te8 after structural relaxation (PBE, Alexandria).

Lattice parameters (Å, degrees): 14.928 8.623 9.987 90.00 119.87 90.00
Space group C2/m (No. 12)
One atom of each set of equivalent atoms:
Rb 0.000 0.000 0.000 (multiplicity 2)
Rb 0.250 0.250 0.000 (multiplicity 4)
Np 0.000 0.000 0.500 (multiplicity 2)
Sc 0.000 0.500 0.500 (multiplicity 2)
Sc 0.250 0.250 0.500 (multiplicity 4)
Te 0.022 0.259 0.307 (multiplicity 8)
Te 0.229 0.500 0.689 (multiplicity 4)
Te 0.237 0.000 0.692 (multiplicity 4)

Results
ΔE_f (raw) ... -108.22 kJ per mole of atoms
Final energy ... -153.59 eV for the cell shown
Calculated density ... 4.91 g/cm3
D(E_F) ... 8.59 states/eV/cell
Crystal system ... monoclinic